Y2Ho2ZnGa4: relaxed, GGA-PBE.

a b c (Å): 6.5529 6.5529 6.5529
angles (deg): 97.23 115.92 115.92
Last column: nearest neighbours and their distance in Å.
Fractional coordinates of all 9 atoms:
Y 0.5000 0.7500 0.2500  8 Ga 3.28, 4 Ho 3.52
Y 0.5000 0.2500 0.7500  8 Ga 3.28, 4 Ho 3.52
Ho 0.0000 0.6866 0.6866  1 Zn 2.72, 4 Ga 2.98
Ho 0.0000 0.3134 0.3134  1 Zn 2.72, 4 Ga 2.98
Zn 0.0000 0.0000 0.0000  4 Ga 2.42
Ga 0.0000 0.7542 0.2458  1 Zn 2.42
Ga 0.5084 0.7542 0.7542  1 Zn 2.42
Ga 0.0000 0.2458 0.7542  1 Zn 2.42
Ga 0.4916 0.2458 0.2458  1 Zn 2.42

Calculated values
calculated total energy = -4.238 eV/atom


YHoZn2Ga2: relaxed, GGA-PBE.

a b c (Å): 4.4079 4.4079 7.2052
angles (deg): 90.00 90.00 120.00
Last column: nearest neighbours and their distance in Å.
Fractional coordinates of all 6 atoms:
Y 0.0000 0.0000 0.0000  6 Ga 3.14, 6 Zn 3.14
Ho 0.0000 0.0000 0.5000  6 Zn 3.09, 6 Ga 3.10
Zn 0.3333 0.6667 0.7442  3 Ga 2.54
Zn 0.6667 0.3333 0.2558  3 Ga 2.54
Ga 0.3333 0.6667 0.2543  3 Zn 2.54
Ga 0.6667 0.3333 0.7457  3 Zn 2.54

Calculated values
calculated total energy = -3.847 eV/atom


In the order shown, the computed energy of formation values come out to -0.298, -0.573 eV/atom.
In the order shown, the computed N(E_F) values come out to 0.868, 0.453 states/eV per atom.
In the order shown, the computed density values come out to 6.755, 7.178 g/cm3.